Here is crystalline TcHgI2 at its relaxed geometry from the Alexandria database. Energies are from PBE.

## Properties
Energy relative to the elements, uncorrected: 433 meV per atom
V: 617 Å³ per cell
DFT total energy: -12.04 eV per formula unit

Lattice parameters (Å, degrees): 8.1032 8.1032 9.3892 90.00 90.00 90.00
Closest atoms and distances in Å follow each position.
Space group I-42d (No. 122)
One atom of each set of equivalent atoms:
Tc: 0.0000 0.0000 0.0000 [4 per cell]  4 I 2.59
Hg: 0.0000 0.0000 0.5000 [4 per cell]  4 I 3.76
I: 0.1371 0.7500 0.1250 [8 per cell]  2 Tc 2.59